[1]
The following is a DFT calculation (PBE-GGA) of HoMg11Cd after structural relaxation.

The structure in POSCAR format:
```
HoMg11Cd
1.0
5.4576 -0.0160 2.2737
2.6507 7.1587 1.1043
-0.0315 -0.0080 7.7625
Mg Ho Cd
11 1 1
Cartesian
4.4763 2.5017 4.5711 Mg
5.9385 5.6229 8.6182 Mg
6.3662 2.4937 7.7216 Mg
3.6005 4.6330 6.5694 Mg
3.2651 1.5038 7.5044 Mg
2.1382 1.5118 2.5223 Mg
1.3253 3.5793 0.5522 Mg
4.8117 5.6309 3.6361 Mg
-0.0158 -0.0040 3.8812 Mg
2.7130 -0.0120 5.0181 Mg
1.7106 4.6410 3.4189 Mg
0.0000 0.0000 0.0000 Ho
4.0541 3.5713 1.6890 Cd
```

ΔH_f (0 K): -0.5 eV per formula unit
volume: 23.39 Å³/atom
space group: C2/m, No. 12

=====

[2]
The following is a DFT calculation (PBE-GGA) of InGe3Ru after structural relaxation.

The structure in POSCAR format:
```
InGe3Ru
1.0
4.8243 0.0000 0.0000
0.0000 4.8243 0.0000
0.0000 0.0000 4.8243
Ge In Ru
3 1 1
Cartesian
0.0000 0.0000 2.4122 Ge
0.0000 2.4122 0.0000 Ge
2.4122 0.0000 0.0000 Ge
2.4122 2.4122 2.4122 In
0.0000 0.0000 0.0000 Ru
```

polymorph energy (0 for the lowest one): 0.000 eV/atom
ΔH_f (0 K): 1.1 eV per formula unit
volume: 22.46 Å³/atom
space group: Pm-3m, No. 221

=====

[3]
The following is a DFT calculation (PBE-GGA) of La2Dy4Te3N2 after structural relaxation.

The structure in POSCAR format:
```
La2Dy4Te3N2
1.0
-3.9743 1.3293 -2.0136
-2.3834 -2.7676 2.8769
2.1311 10.4461 8.0577
Dy Te N La
4 3 2 2
Cartesian
-2.1616 2.2846 0.4070 Dy
-2.8604 8.7717 6.0688 Dy
-1.3662 0.2361 2.8522 Dy
-2.0649 6.7233 8.5140 Dy
-0.3625 3.3655 2.9373 Te
0.0000 0.0000 0.0000 Te
-3.8640 5.6424 5.9837 Te
-0.8396 7.7945 6.8028 N
-3.3870 1.2133 2.1182 N
-3.5865 3.0656 3.7348 La
-0.6400 5.9423 5.1862 La
```

formation energy from raw total energies: -13.77 eV per formula unit
volume: 25.45 Å³/atom
space group: I4/mmm, No. 139